Rb2NbSe | meta-GGA SCAN | single point on PBEsol structure

Geometry as CIF:
```
data_Rb2NbSe
_chemical_formula_sum 'Rb8 Nb4 Se4'
_symmetry_space_group_name_H-M 'I -4 2 d'
_symmetry_Int_Tables_number 122
_symmetry_space_group_name_Hall 'I -4 2bw'
_cell_length_a 12.773
_cell_length_b 12.773
_cell_length_c 4.982
_cell_angle_alpha 90.00
_cell_angle_beta 90.00
_cell_angle_gamma 90.00
loop_
_atom_site_label
_atom_site_fract_x
_atom_site_fract_y
_atom_site_fract_z
Rb1 0.079 0.250 0.125
Nb1 0.000 0.000 0.500
Se1 0.000 0.000 0.000
```

## Properties
The calculation puts the total energy at -378.4 eV for the cell shown. For the density of states at the Fermi level, the calculation gives 0.46 states/eV per atom. The calculation puts the density at 2.80 Mg/m³. The value obtained for the uncorrected formation energy is 0.024 eV per atom. The calculation puts the size of the total moment at 15.01 μB per cell.

=====

RbNb2Si | meta-GGA SCAN | single point on PBEsol structure

Geometry as CIF:
```
data_RbNb2Si
_chemical_formula_sum 'Rb4 Nb8 Si4'
_symmetry_space_group_name_H-M 'I -4 2 d'
_symmetry_Int_Tables_number 122
_symmetry_space_group_name_Hall 'I -4 2bw'
_cell_length_a 4.706
_cell_length_b 4.706
_cell_length_c 18.685
_cell_angle_alpha 90.00
_cell_angle_beta 90.00
_cell_angle_gamma 90.00
loop_
_atom_site_label
_atom_site_fract_x
_atom_site_fract_y
_atom_site_fract_z
Rb1 0.000 0.000 0.000
Nb1 0.092 0.250 0.625
Si1 0.000 0.000 0.500
```

## Properties
The calculation puts the total energy at -369.7 eV for the cell shown. For the density of states at the Fermi level, the calculation gives 0.76 states/eV per atom. The calculation puts the density at 4.80 Mg/m³. The value obtained for the uncorrected formation energy is 1.150 eV per atom. The calculation puts the size of the total moment at 0.00 μB per cell.

=====

Rb2NbTlSi | meta-GGA SCAN | single point on PBEsol structure

Geometry as CIF:
```
data_Rb2NbTlSi
_chemical_formula_sum 'Rb2 Nb1 Tl1 Si1'
_symmetry_space_group_name_H-M 'P 4/m m m'
_symmetry_Int_Tables_number 123
_symmetry_space_group_name_Hall '-P 4 2'
_cell_length_a 6.540
_cell_length_b 6.540
_cell_length_c 4.894
_cell_angle_alpha 90.00
_cell_angle_beta 90.00
_cell_angle_gamma 90.00
loop_
_atom_site_label
_atom_site_fract_x
_atom_site_fract_y
_atom_site_fract_z
Rb1 0.000 0.500 0.000
Nb1 0.000 0.000 0.000
Tl1 0.500 0.500 0.500
Si1 0.000 0.000 0.500
```

## Properties
The calculation puts the total energy at -152.7 eV for the cell shown. For the density of states at the Fermi level, the calculation gives 0.96 states/eV per atom. The calculation puts the density at 3.94 Mg/m³. The value obtained for the uncorrected formation energy is 0.863 eV per atom. The calculation puts the size of the total moment at 3.43 μB per cell.

=====

RbNb3Sn | meta-GGA SCAN | single point on PBEsol structure

Geometry as CIF:
```
data_RbNb3Sn
_chemical_formula_sum 'Rb1 Nb3 Sn1'
_symmetry_space_group_name_H-M 'P m -3 m'
_symmetry_Int_Tables_number 221
_symmetry_space_group_name_Hall '-P 4 2 3'
_cell_length_a 4.765
_cell_length_b 4.765
_cell_length_c 4.765
_cell_angle_alpha 90.00
_cell_angle_beta 90.00
_cell_angle_gamma 90.00
loop_
_atom_site_label
_atom_site_fract_x
_atom_site_fract_y
_atom_site_fract_z
Rb1 0.000 0.000 0.000
Nb1 0.000 0.000 0.500
Sn1 0.500 0.500 0.500
```

## Properties
The calculation puts the total energy at -143.2 eV for the cell shown. For the density of states at the Fermi level, the calculation gives 0.73 states/eV per atom. For the formation energy, the calculation gives 1238 kJ/mol of formula units. For the energy above the lowest structure with this stoichiometry, the calculation gives 721 meV/atom. The calculation puts the density at 7.41 Mg/m³. The calculation puts the size of the total moment at 0.00 μB per cell.

=====

RbNb3Sn | meta-GGA SCAN | single point on PBEsol structure

Geometry as CIF:
```
data_RbNb3Sn
_chemical_formula_sum 'Rb1 Nb3 Sn1'
_symmetry_space_group_name_H-M 'P m -3 m'
_symmetry_Int_Tables_number 221
_symmetry_space_group_name_Hall '-P 4 2 3'
_cell_length_a 5.211
_cell_length_b 5.211
_cell_length_c 5.211
_cell_angle_alpha 90.00
_cell_angle_beta 90.00
_cell_angle_gamma 90.00
loop_
_atom_site_label
_atom_site_fract_x
_atom_site_fract_y
_atom_site_fract_z
Rb1 0.000 0.000 0.000
Nb1 0.000 0.500 0.500
Sn1 0.500 0.500 0.500
```

## Properties
The calculation puts the total energy at -146.8 eV for the cell shown. For the density of states at the Fermi level, the calculation gives 1.21 states/eV per atom. For the formation energy, the calculation gives 890 kJ/mol of formula units. For the energy above the lowest structure with this stoichiometry, the calculation gives 0 meV/atom. The calculation puts the density at 5.67 Mg/m³. The calculation puts the size of the total moment at 0.00 μB per cell.

=====

RbZr2NbSn | meta-GGA SCAN | single point on PBEsol structure

Geometry as CIF:
```
data_RbZr2NbSn
_chemical_formula_sum 'Rb1 Zr2 Nb1 Sn1'
_symmetry_space_group_name_H-M 'P 4/m m m'
_symmetry_Int_Tables_number 123
_symmetry_space_group_name_Hall '-P 4 2'
_cell_length_a 4.923
_cell_length_b 4.923
_cell_length_c 4.759
_cell_angle_alpha 90.00
_cell_angle_beta 90.00
_cell_angle_gamma 90.00
loop_
_atom_site_label
_atom_site_fract_x
_atom_site_fract_y
_atom_site_fract_z
Rb1 0.000 0.000 0.000
Zr1 0.000 0.500 0.000
Nb1 0.000 0.000 0.500
Sn1 0.500 0.500 0.500
```

## Properties
The calculation puts the total energy at -141.0 eV for the cell shown. For the density of states at the Fermi level, the calculation gives 0.87 states/eV per atom. For the formation energy, the calculation gives 986 kJ/mol of formula units. The calculation puts the density at 6.90 Mg/m³. The calculation puts the size of the total moment at 0.00 μB per cell.

=====

RbSr3Nb | meta-GGA SCAN | single point on PBEsol structure

Geometry as CIF:
```
data_RbSr3Nb
_chemical_formula_sum 'Rb1 Sr3 Nb1'
_symmetry_space_group_name_H-M 'P m -3 m'
_symmetry_Int_Tables_number 221
_symmetry_space_group_name_Hall '-P 4 2 3'
_cell_length_a 5.963
_cell_length_b 5.963
_cell_length_c 5.963
_cell_angle_alpha 90.00
_cell_angle_beta 90.00
_cell_angle_gamma 90.00
loop_
_atom_site_label
_atom_site_fract_x
_atom_site_fract_y
_atom_site_fract_z
Rb1 0.000 0.000 0.000
Sr1 0.000 0.000 0.500
Nb1 0.500 0.500 0.500
```

## Properties
The calculation puts the total energy at -112.9 eV for the cell shown. For the density of states at the Fermi level, the calculation gives 1.28 states/eV per atom. For the formation energy, the calculation gives 754 kJ/mol of formula units. The calculation puts the density at 3.46 Mg/m³. The calculation puts the size of the total moment at 1.70 μB per cell.

=====

RbSrNb3 | meta-GGA SCAN | single point on PBEsol structure

Geometry as CIF:
```
data_RbSrNb3
_chemical_formula_sum 'Rb1 Sr1 Nb3'
_symmetry_space_group_name_H-M 'P m -3 m'
_symmetry_Int_Tables_number 221
_symmetry_space_group_name_Hall '-P 4 2 3'
_cell_length_a 5.139
_cell_length_b 5.139
_cell_length_c 5.139
_cell_angle_alpha 90.00
_cell_angle_beta 90.00
_cell_angle_gamma 90.00
loop_
_atom_site_label
_atom_site_fract_x
_atom_site_fract_y
_atom_site_fract_z
Rb1 0.000 0.000 0.000
Sr1 0.500 0.500 0.500
Nb1 0.000 0.500 0.500
```

## Properties
The calculation puts the total energy at -128.4 eV for the cell shown. For the density of states at the Fermi level, the calculation gives 1.33 states/eV per atom. For the formation energy, the calculation gives 1352 kJ/mol of formula units. The calculation puts the density at 5.53 Mg/m³. The calculation puts the size of the total moment at 0.25 μB per cell.

=====

RbTaNb2W | meta-GGA SCAN | single point on PBEsol structure

Geometry as CIF:
```
data_RbTaNb2W
_chemical_formula_sum 'Rb1 Ta1 Nb2 W1'
_symmetry_space_group_name_H-M 'P 4/m m m'
_symmetry_Int_Tables_number 123
_symmetry_space_group_name_Hall '-P 4 2'
_cell_length_a 5.043
_cell_length_b 5.043
_cell_length_c 4.897
_cell_angle_alpha 90.00
_cell_angle_beta 90.00
_cell_angle_gamma 90.00
loop_
_atom_site_label
_atom_site_fract_x
_atom_site_fract_y
_atom_site_fract_z
Rb1 0.000 0.000 0.000
Ta1 0.500 0.500 0.500
Nb1 0.000 0.500 0.500
W1 0.500 0.500 0.000
```

## Properties
The calculation puts the total energy at -213.8 eV for the cell shown. For the density of states at the Fermi level, the calculation gives 0.82 states/eV per atom. For the formation energy, the calculation gives 913 kJ/mol of formula units. The calculation puts the density at 8.48 Mg/m³. The calculation puts the size of the total moment at 0.68 μB per cell.

=====

RbNb2Te2 | meta-GGA SCAN | single point on PBEsol structure

Geometry as CIF:
```
data_RbNb2Te2
_chemical_formula_sum 'Rb2 Nb4 Te4'
_symmetry_space_group_name_H-M 'I 4/m m m'
_symmetry_Int_Tables_number 139
_symmetry_space_group_name_Hall '-I 4 2'
_cell_length_a 4.042
_cell_length_b 4.042
_cell_length_c 16.748
_cell_angle_alpha 90.00
_cell_angle_beta 90.00
_cell_angle_gamma 90.00
loop_
_atom_site_label
_atom_site_fract_x
_atom_site_fract_y
_atom_site_fract_z
Rb1 0.000 0.000 0.000
Nb1 0.000 0.500 0.250
Te1 0.000 0.000 0.367
```

## Properties
The calculation puts the total energy at -329.4 eV for the cell shown. For the density of states at the Fermi level, the calculation gives 0.14 states/eV per atom. The calculation puts the density at 6.39 Mg/m³. The value obtained for the uncorrected formation energy is -0.638 eV per atom. The calculation puts the size of the total moment at 0.00 μB per cell.

=====

Rb2TiNb | meta-GGA SCAN | single point on PBEsol structure

Geometry as CIF:
```
data_Rb2TiNb
_chemical_formula_sum 'Rb8 Ti4 Nb4'
_symmetry_space_group_name_H-M 'F m -3 m'
_symmetry_Int_Tables_number 225
_symmetry_space_group_name_Hall '-F 4 2 3'
_cell_length_a 8.453
_cell_length_b 8.453
_cell_length_c 8.453
_cell_angle_alpha 90.00
_cell_angle_beta 90.00
_cell_angle_gamma 90.00
loop_
_atom_site_label
_atom_site_fract_x
_atom_site_fract_y
_atom_site_fract_z
Rb1 0.250 0.250 0.250
Ti1 0.000 0.000 0.000
Nb1 0.000 0.000 0.500
```

## Properties
The calculation puts the total energy at -333.0 eV for the cell shown. For the density of states at the Fermi level, the calculation gives 2.04 states/eV per atom. For the formation energy, the calculation gives 713 kJ/mol of formula units. The calculation puts the density at 3.43 Mg/m³. The calculation puts the size of the total moment at 34.43 μB per cell.

=====

Rb2ZrTiNb | meta-GGA SCAN | single point on PBEsol structure

Geometry as CIF:
```
data_Rb2ZrTiNb
_chemical_formula_sum 'Rb2 Zr1 Ti1 Nb1'
_symmetry_space_group_name_H-M 'P 4/m m m'
_symmetry_Int_Tables_number 123
_symmetry_space_group_name_Hall '-P 4 2'
_cell_length_a 6.182
_cell_length_b 6.182
_cell_length_c 4.715
_cell_angle_alpha 90.00
_cell_angle_beta 90.00
_cell_angle_gamma 90.00
loop_
_atom_site_label
_atom_site_fract_x
_atom_site_fract_y
_atom_site_fract_z
Rb1 0.000 0.500 0.000
Zr1 0.000 0.000 0.000
Ti1 0.000 0.000 0.500
Nb1 0.500 0.500 0.500
```

## Properties
The calculation puts the total energy at -111.1 eV for the cell shown. For the density of states at the Fermi level, the calculation gives 1.04 states/eV per atom. For the formation energy, the calculation gives 987 kJ/mol of formula units. The calculation puts the density at 3.71 Mg/m³. The calculation puts the size of the total moment at 3.54 μB per cell.

=====

Please write out number 5 again, unchanged.
RbNb3Sn | meta-GGA SCAN | single point on PBEsol structure

Geometry as CIF:
```
data_RbNb3Sn
_chemical_formula_sum 'Rb1 Nb3 Sn1'
_symmetry_space_group_name_H-M 'P m -3 m'
_symmetry_Int_Tables_number 221
_symmetry_space_group_name_Hall '-P 4 2 3'
_cell_length_a 5.211
_cell_length_b 5.211
_cell_length_c 5.211
_cell_angle_alpha 90.00
_cell_angle_beta 90.00
_cell_angle_gamma 90.00
loop_
_atom_site_label
_atom_site_fract_x
_atom_site_fract_y
_atom_site_fract_z
Rb1 0.000 0.000 0.000
Nb1 0.000 0.500 0.500
Sn1 0.500 0.500 0.500
```

## Properties
The calculation puts the total energy at -146.8 eV for the cell shown. For the density of states at the Fermi level, the calculation gives 1.21 states/eV per atom. For the formation energy, the calculation gives 890 kJ/mol of formula units. For the energy above the lowest structure with this stoichiometry, the calculation gives 0 meV/atom. The calculation puts the density at 5.67 Mg/m³. The calculation puts the size of the total moment at 0.00 μB per cell.

=====

Please write out number 8 again, unchanged.
RbSrNb3 | meta-GGA SCAN | single point on PBEsol structure

Geometry as CIF:
```
data_RbSrNb3
_chemical_formula_sum 'Rb1 Sr1 Nb3'
_symmetry_space_group_name_H-M 'P m -3 m'
_symmetry_Int_Tables_number 221
_symmetry_space_group_name_Hall '-P 4 2 3'
_cell_length_a 5.139
_cell_length_b 5.139
_cell_length_c 5.139
_cell_angle_alpha 90.00
_cell_angle_beta 90.00
_cell_angle_gamma 90.00
loop_
_atom_site_label
_atom_site_fract_x
_atom_site_fract_y
_atom_site_fract_z
Rb1 0.000 0.000 0.000
Sr1 0.500 0.500 0.500
Nb1 0.000 0.500 0.500
```

## Properties
The calculation puts the total energy at -128.4 eV for the cell shown. For the density of states at the Fermi level, the calculation gives 1.33 states/eV per atom. For the formation energy, the calculation gives 1352 kJ/mol of formula units. The calculation puts the density at 5.53 Mg/m³. The calculation puts the size of the total moment at 0.25 μB per cell.